A geometry-optimized Pu2TlSn structure. Source: Alexandria via LeMat-Bulk, functional PBE-GGA.

```
4
Lattice="4.126 0.000 0.000 0.000 4.126 0.000 0.000 0.000 6.291" Properties=species:S:1:pos:R:3 pbc="T T T"
Pu 0.000 0.000 1.498
Pu 0.000 0.000 4.792
Tl 2.063 2.063 3.145
Sn 2.063 2.063 0.000
```

Output
DOS at the Fermi energy ... 17.62 states/eV/cell
Raw total energy ... -35.7 eV/f.u.
Distance to the lowest polymorph of the same formula ... 37.9 meV/atom
Size of the total moment ... 11.4 Bohr magnetons per cell